# GGA-PBE TaFeTe, relaxed
data_TaFeTe
_symmetry_space_group_name_H-M 'R -3 m'
_symmetry_Int_Tables_number 166
_symmetry_space_group_name_Hall '-R 3 2"'
_cell_length_a 3.6954
_cell_length_b 3.6954
_cell_length_c 32.6470
_cell_angle_alpha 90.00
_cell_angle_beta 90.00
_cell_angle_gamma 120.00
loop_
_atom_site_label
_atom_site_type_symbol
_atom_site_fract_x
_atom_site_fract_y
_atom_site_fract_z
Ta1 Ta 0.0000 0.0000 0.0523
Fe1 Fe 0.0000 0.0000 0.3354
Te1 Te 0.0000 0.0000 0.2222
# electronic total energy = -141.45 eV/cell
# raw formation energy = -39 meV per atom
# D(E_F) = 0.802 states/eV/atom